This record from Alexandria via LeMat-Bulk describes a relaxed structure of Sc2Hg2Bi. The functional is PBE-GGA. Values from VASP.

Properties
Crystal system = monoclinic
Calculated volume = 120.7 Å³ per cell
Formation energy from the elements = -369 meV per atom
Magnetic moment = 0.0 μB per formula unit
Energy above the most stable polymorph in this dataset = 0.00 kcal/mol of atoms
SG = C2/m, No. 12

The structure in Quantum ESPRESSO input format:
```
&SYSTEM
  ibrav = 0, nat = 5, ntyp = 3
/
ATOMIC_SPECIES
Sc 44.96 Sc.upf
Hg 200.59 Hg.upf
Bi 208.98 Bi.upf
CELL_PARAMETERS angstrom
-3.7073 -2.6278 -1.3900
2.6685 2.2546 -3.2214
3.1388 -5.5700 2.1814
ATOMIC_POSITIONS crystal
Sc 0.0920 0.1849 0.7770
Sc 0.9080 0.8151 0.2230
Hg 0.6886 0.3777 0.5662
Hg 0.3114 0.6223 0.4338
Bi 0.5000 0.0000 0.0000
```



This record from Alexandria via LeMat-Bulk describes a relaxed structure of PmZnNi. The functional is PBE-GGA. Values from VASP.

Properties
Crystal system = tetragonal
Calculated volume = 56.6 Å³ per cell
Formation energy from the elements = -214 meV per atom
Magnetic moment = 0.0 μB per formula unit
Energy above the most stable polymorph in this dataset = 4.21 kcal/mol of atoms
SG = I4mm, No. 107

The structure in Quantum ESPRESSO input format:
```
&SYSTEM
  ibrav = 0, nat = 3, ntyp = 3
/
ATOMIC_SPECIES
Ni 58.69 Ni.upf
Zn 65.41 Zn.upf
Pm 145.00 Pm.upf
CELL_PARAMETERS angstrom
3.3607 0.0000 0.0000
0.0000 3.3607 0.0000
-1.6803 -1.6803 5.0130
ATOMIC_POSITIONS crystal
Ni 0.3102 0.3102 0.6203
Zn 0.9158 0.9158 0.8315
Pm 0.6241 0.6241 0.2481
```



This record from Alexandria via LeMat-Bulk describes a relaxed structure of PrErLuSn. The functional is PBE-GGA. Values from VASP.

Properties
Crystal system = cubic
Calculated volume = 113.8 Å³ per cell
Formation energy from the elements = -233 meV per atom
Magnetic moment = 0.0 μB per formula unit
SG = F-43m, No. 216

The structure in Quantum ESPRESSO input format:
```
&SYSTEM
  ibrav = 0, nat = 4, ntyp = 4
/
ATOMIC_SPECIES
Pr 140.91 Pr.upf
Lu 174.97 Lu.upf
Sn 118.71 Sn.upf
Er 167.26 Er.upf
CELL_PARAMETERS angstrom
5.4392 0.0000 0.0000
2.7196 4.7105 0.0000
2.7196 1.5702 4.4411
ATOMIC_POSITIONS crystal
Pr 0.5000 0.5000 0.5000
Lu 0.7500 0.7500 0.7500
Sn 0.2500 0.2500 0.2500
Er 0.0000 0.0000 0.0000
```